# 1
# Cs3Rb4NaCl8, optimized geometry, DFT PBE
# - E (Ry/atom) = -0.243
# - crystal system = monoclinic
# - symmetry = No. 12
# - formation energy (no corrections) (meV per atom) = -1898
# - volume (Å³ per atom) = 38.53
data_Cs3Rb4NaCl8
_chemical_formula_sum 'Cs3 Rb4 Na1 Cl8'
_cell_length_a 9.542
_cell_length_b 9.516
_cell_length_c 9.564
_cell_angle_alpha 119.82
_cell_angle_beta 119.92
_cell_angle_gamma 90.00
_symmetry_space_group_name_H-M 'P 1'
_symmetry_Int_Tables_number 1
loop_
_symmetry_equiv_pos_as_xyz
'x,y,z'
loop_
_atom_site_label
_atom_site_fract_x
_atom_site_fract_y
_atom_site_fract_z
Cs1 0.500 0.500 0.500
Rb1 0.500 0.000 0.500
Cs2 0.500 0.500 0.000
Cl1 0.768 0.259 0.991
Cl2 0.232 0.741 0.009
Cs3 0.000 0.500 0.500
Cl3 0.749 0.240 0.498
Na1 0.000 0.500 0.000
Cl4 0.755 0.766 0.511
Rb2 0.500 0.000 0.000
Cl5 0.223 0.259 0.991
Cl6 0.777 0.741 0.009
Cl7 0.251 0.760 0.502
Rb3 0.000 0.000 0.500
Rb4 0.000 0.000 0.000
Cl8 0.245 0.234 0.489

---

# 2
# CsRb2NaCl, optimized geometry, DFT PBE
# - E (Ry/atom) = -0.141
# - crystal system = tetragonal
# - symmetry = No. 123
# - formation energy (no corrections) (meV per atom) = -729
# - volume (Å³ per atom) = 61.77
# - excess energy over the best structure of this formula in the dataset (meV/atom) = 0
data_CsRb2NaCl
_chemical_formula_sum 'Cs1 Rb2 Na1 Cl1'
_cell_length_a 6.646
_cell_length_b 6.646
_cell_length_c 6.993
_cell_angle_alpha 90.00
_cell_angle_beta 90.00
_cell_angle_gamma 90.00
_symmetry_space_group_name_H-M 'P 1'
_symmetry_Int_Tables_number 1
loop_
_symmetry_equiv_pos_as_xyz
'x,y,z'
loop_
_atom_site_label
_atom_site_fract_x
_atom_site_fract_y
_atom_site_fract_z
Rb1 0.500 0.000 0.000
Na1 0.500 0.500 0.500
Rb2 0.000 0.500 0.000
Cl1 0.000 0.000 0.000
Cs1 0.000 0.000 0.500

---

# 3
# CsRb2NaCl4, optimized geometry, DFT PBE
# - E (Ry/atom) = -0.244
# - crystal system = orthorhombic
# - symmetry = No. 63
# - formation energy (no corrections) (meV per atom) = -1881
# - volume (Å³ per atom) = 37.75
data_CsRb2NaCl4
_chemical_formula_sum 'Cs2 Rb4 Na2 Cl8'
_cell_length_a 4.690
_cell_length_b 8.251
_cell_length_c 16.279
_cell_angle_alpha 90.00
_cell_angle_beta 90.00
_cell_angle_gamma 106.51
_symmetry_space_group_name_H-M 'P 1'
_symmetry_Int_Tables_number 1
loop_
_symmetry_equiv_pos_as_xyz
'x,y,z'
loop_
_atom_site_label
_atom_site_fract_x
_atom_site_fract_y
_atom_site_fract_z
Cl1 0.000 0.000 0.000
Na1 0.849 0.697 0.750
Rb1 0.632 0.265 0.453
Cl2 0.737 0.475 0.627
Rb2 0.368 0.735 0.547
Cl3 0.263 0.525 0.373
Cl4 0.737 0.475 0.873
Rb3 0.632 0.265 0.047
Cl5 0.000 0.000 0.500
Cl6 0.563 0.126 0.250
Cs1 0.883 0.766 0.250
Rb4 0.368 0.735 0.953
Cs2 0.117 0.234 0.750
Na2 0.151 0.303 0.250
Cl7 0.437 0.874 0.750
Cl8 0.263 0.525 0.127

---

# 4
# CsRb2NaCl, optimized geometry, DFT PBE
# - E (Ry/atom) = -0.133
# - crystal system = tetragonal
# - symmetry = No. 123
# - formation energy (no corrections) (meV per atom) = -613
# - volume (Å³ per atom) = 66.97
# - excess energy over the best structure of this formula in the dataset (meV/atom) = 116
data_CsRb2NaCl
_chemical_formula_sum 'Cs1 Rb2 Na1 Cl1'
_cell_length_a 6.469
_cell_length_b 6.469
_cell_length_c 8.002
_cell_angle_alpha 90.00
_cell_angle_beta 90.00
_cell_angle_gamma 90.00
_symmetry_space_group_name_H-M 'P 1'
_symmetry_Int_Tables_number 1
loop_
_symmetry_equiv_pos_as_xyz
'x,y,z'
loop_
_atom_site_label
_atom_site_fract_x
_atom_site_fract_y
_atom_site_fract_z
Na1 0.000 0.000 0.500
Cs1 0.500 0.500 0.500
Rb1 0.000 0.500 0.000
Cl1 0.000 0.000 0.000
Rb2 0.500 0.000 0.000

---

# 5
# Cs2RbNaCl4, optimized geometry, DFT PBE
# - E (Ry/atom) = -0.242
# - crystal system = monoclinic
# - symmetry = No. 10
# - formation energy (no corrections) (meV per atom) = -1870
# - volume (Å³ per atom) = 36.88
data_Cs2RbNaCl4
_chemical_formula_sum 'Cs2 Rb1 Na1 Cl4'
_cell_length_a 4.715
_cell_length_b 8.165
_cell_length_c 8.103
_cell_angle_alpha 71.06
_cell_angle_beta 90.00
_cell_angle_gamma 90.00
_symmetry_space_group_name_H-M 'P 1'
_symmetry_Int_Tables_number 1
loop_
_symmetry_equiv_pos_as_xyz
'x,y,z'
loop_
_atom_site_label
_atom_site_fract_x
_atom_site_fract_y
_atom_site_fract_z
Na1 0.500 0.500 0.000
Cl1 0.000 0.283 0.227
Rb1 0.000 0.500 0.500
Cl2 0.500 0.283 0.764
Cs1 0.000 0.000 0.000
Cl3 0.000 0.717 0.773
Cs2 0.500 0.000 0.500
Cl4 0.500 0.717 0.236

---

# 6
# CsNa2ReCl8, optimized geometry, DFT PBE
# - E (Ry/atom) = -0.276
# - crystal system = triclinic
# - symmetry = No. 2
# - formation energy (no corrections) (meV per atom) = -1191
# - volume (Å³ per atom) = 31.69
data_CsNa2ReCl8
_chemical_formula_sum 'Cs1 Na2 Re1 Cl8'
_cell_length_a 6.525
_cell_length_b 6.900
_cell_length_c 10.182
_cell_angle_alpha 56.15
_cell_angle_beta 88.39
_cell_angle_gamma 90.83
_symmetry_space_group_name_H-M 'P 1'
_symmetry_Int_Tables_number 1
loop_
_symmetry_equiv_pos_as_xyz
'x,y,z'
loop_
_atom_site_label
_atom_site_fract_x
_atom_site_fract_y
_atom_site_fract_z
Cl1 0.301 0.178 0.016
Cl2 0.043 0.675 0.260
Cs1 0.000 0.000 0.500
Na1 0.493 0.726 0.270
Cl3 0.957 0.325 0.740
Cl4 0.699 0.822 0.984
Cl5 0.506 0.259 0.475
Re1 0.000 0.000 0.000
Na2 0.507 0.274 0.730
Cl6 0.494 0.741 0.525
Cl7 0.809 0.175 0.101
Cl8 0.191 0.825 0.899

---

# 7
# Cs2NaRuCl6, optimized geometry, DFT PBE
# - E (Ry/atom) = -0.273
# - crystal system = cubic
# - symmetry = No. 225
# - formation energy (no corrections) (meV per atom) = -1376
# - volume (Å³ per atom) = 28.64
data_Cs2NaRuCl6
_chemical_formula_sum 'Cs2 Na1 Ru1 Cl6'
_cell_length_a 7.398
_cell_length_b 7.398
_cell_length_c 7.399
_cell_angle_alpha 60.00
_cell_angle_beta 60.00
_cell_angle_gamma 90.00
_symmetry_space_group_name_H-M 'P 1'
_symmetry_Int_Tables_number 1
loop_
_symmetry_equiv_pos_as_xyz
'x,y,z'
loop_
_atom_site_label
_atom_site_fract_x
_atom_site_fract_y
_atom_site_fract_z
Cs1 0.750 0.250 0.500
Cl1 0.771 0.771 0.458
Na1 0.500 0.500 0.000
Cs2 0.250 0.750 0.500
Ru1 0.000 0.000 0.000
Cl2 0.229 0.229 0.000
Cl3 0.229 0.229 0.542
Cl4 0.771 0.229 0.000
Cl5 0.229 0.771 0.000
Cl6 0.771 0.771 0.000

---

# 8
# CsNaSCl2, optimized geometry, DFT PBE
# - E (Ry/atom) = -0.176
# - crystal system = tetragonal
# - symmetry = No. 123
# - formation energy (no corrections) (meV per atom) = -398
# - volume (Å³ per atom) = 45.97
data_CsNaSCl2
_chemical_formula_sum 'Cs1 Na1 S1 Cl2'
_cell_length_a 6.369
_cell_length_b 6.369
_cell_length_c 5.666
_cell_angle_alpha 90.00
_cell_angle_beta 90.00
_cell_angle_gamma 90.00
_symmetry_space_group_name_H-M 'P 1'
_symmetry_Int_Tables_number 1
loop_
_symmetry_equiv_pos_as_xyz
'x,y,z'
loop_
_atom_site_label
_atom_site_fract_x
_atom_site_fract_y
_atom_site_fract_z
Cs1 0.000 0.000 0.000
Cl1 0.500 0.000 0.000
S1 0.000 0.000 0.500
Cl2 0.000 0.500 0.000
Na1 0.500 0.500 0.500

---

# 9
# Cs2NaSbCl6, optimized geometry, DFT PBE
# - E (Ry/atom) = -0.249
# - crystal system = cubic
# - symmetry = No. 225
# - formation energy (no corrections) (meV per atom) = -1559
# - volume (Å³ per atom) = 32.89
data_Cs2NaSbCl6
_chemical_formula_sum 'Cs2 Na1 Sb1 Cl6'
_cell_length_a 7.748
_cell_length_b 7.748
_cell_length_c 7.748
_cell_angle_alpha 60.00
_cell_angle_beta 60.00
_cell_angle_gamma 60.00
_symmetry_space_group_name_H-M 'P 1'
_symmetry_Int_Tables_number 1
loop_
_symmetry_equiv_pos_as_xyz
'x,y,z'
loop_
_atom_site_label
_atom_site_fract_x
_atom_site_fract_y
_atom_site_fract_z
Cl1 0.756 0.244 0.756
Cs1 0.750 0.750 0.750
Cl2 0.244 0.756 0.244
Cl3 0.756 0.756 0.244
Cl4 0.244 0.244 0.756
Sb1 0.000 0.000 0.000
Cl5 0.756 0.244 0.244
Cs2 0.250 0.250 0.250
Na1 0.500 0.500 0.500
Cl6 0.244 0.756 0.756

---

# 10
# CsNa2SbCl6, optimized geometry, DFT PBE
# - E (Ry/atom) = -0.246
# - crystal system = trigonal
# - symmetry = No. 146
# - formation energy (no corrections) (meV per atom) = -1474
# - volume (Å³ per atom) = 31.34
data_CsNa2SbCl6
_chemical_formula_sum 'Cs1 Na2 Sb1 Cl6'
_cell_length_a 7.377
_cell_length_b 7.379
_cell_length_c 7.894
_cell_angle_alpha 62.15
_cell_angle_beta 62.15
_cell_angle_gamma 60.01
_symmetry_space_group_name_H-M 'P 1'
_symmetry_Int_Tables_number 1
loop_
_symmetry_equiv_pos_as_xyz
'x,y,z'
loop_
_atom_site_label
_atom_site_fract_x
_atom_site_fract_y
_atom_site_fract_z
Na1 0.526 0.526 0.421
Cl1 0.203 0.317 0.761
Cl2 0.587 0.263 0.221
Cl3 0.719 0.203 0.761
Cs1 0.791 0.791 0.628
Cl4 0.929 0.587 0.222
Cl5 0.263 0.929 0.221
Na2 0.998 0.998 0.005
Cl6 0.317 0.719 0.761
Sb1 0.328 0.328 0.015

---

# 11
# CsNa2SbCl8, optimized geometry, DFT PBE
# - E (Ry/atom) = -0.229
# - crystal system = triclinic
# - symmetry = No. 2
# - formation energy (no corrections) (meV per atom) = -1248
# - volume (Å³ per atom) = 34.93
data_CsNa2SbCl8
_chemical_formula_sum 'Cs1 Na2 Sb1 Cl8'
_cell_length_a 6.212
_cell_length_b 7.427
_cell_length_c 10.049
_cell_angle_alpha 66.13
_cell_angle_beta 81.72
_cell_angle_gamma 88.88
_symmetry_space_group_name_H-M 'P 1'
_symmetry_Int_Tables_number 1
loop_
_symmetry_equiv_pos_as_xyz
'x,y,z'
loop_
_atom_site_label
_atom_site_fract_x
_atom_site_fract_y
_atom_site_fract_z
Cs1 0.000 0.000 0.500
Cl1 0.267 0.235 0.994
Na1 0.558 0.670 0.311
Cl2 0.733 0.765 0.006
Sb1 0.000 0.000 0.000
Cl3 0.253 0.903 0.839
Cl4 0.491 0.718 0.561
Cl5 0.117 0.745 0.219
Cl6 0.509 0.282 0.439
Cl7 0.883 0.255 0.781
Na2 0.442 0.330 0.689
Cl8 0.747 0.097 0.161

---

# 12
# Cs3Na2ScCl8, optimized geometry, DFT PBE
# - E (Ry/atom) = -0.281
# - crystal system = trigonal
# - symmetry = No. 164
# - formation energy (no corrections) (meV per atom) = -1946
# - volume (Å³ per atom) = 35.04
data_Cs3Na2ScCl8
_chemical_formula_sum 'Cs3 Na2 Sc1 Cl8'
_cell_length_a 7.473
_cell_length_b 7.473
_cell_length_c 10.141
_cell_angle_alpha 90.00
_cell_angle_beta 90.00
_cell_angle_gamma 120.00
_symmetry_space_group_name_H-M 'P 1'
_symmetry_Int_Tables_number 1
loop_
_symmetry_equiv_pos_as_xyz
'x,y,z'
loop_
_atom_site_label
_atom_site_fract_x
_atom_site_fract_y
_atom_site_fract_z
Cs1 0.000 0.000 0.000
Cl1 0.667 0.333 0.047
Cl2 0.156 0.844 0.353
Cl3 0.312 0.156 0.647
Na1 0.667 0.333 0.797
Cs2 0.333 0.667 0.634
Cs3 0.667 0.333 0.366
Sc1 0.000 0.000 0.500
Na2 0.333 0.667 0.203
Cl4 0.844 0.688 0.647
Cl5 0.844 0.156 0.647
Cl6 0.333 0.667 0.953
Cl7 0.156 0.312 0.353
Cl8 0.688 0.844 0.353